A plane-wave DFT calculation with PBE was carried out for a relaxed LaIrW2 crystal.

- space group = No. 166
- V (Å³ per cell) = 74
- distance to the lowest polymorph of the same formula (meV per atom) = 354
- formation enthalpy at 0 K (meV per atom) = 570

```
4
Lattice="10.423 -0.006 -0.004 10.026 2.850 -0.004 10.026 1.394 2.486" Properties=species:S:1:pos:R:3 pbc="T T T"
W 15.603 2.170 1.269
W 30.109 4.187 2.449
Ir 7.619 1.060 0.620
La 22.856 3.179 1.859
```

***

A plane-wave DFT calculation with PBE was carried out for a relaxed KRbBPb2 crystal.

- space group = No. 123
- V (Å³ per cell) = 227
- formation enthalpy at 0 K (meV per atom) = 1448

```
5
Lattice="-2.236 -4.979 3.490 -0.210 -3.040 -4.472 6.075 -1.983 1.063" Properties=species:S:1:pos:R:3 pbc="T T T"
K 1.814 -5.001 0.040
Pb -1.118 -2.489 1.745
Pb 3.037 -0.992 0.531
Rb 0.000 0.000 0.000
B -0.105 -1.520 -2.236
```

***

A plane-wave DFT calculation with PBE was carried out for a relaxed NiSbP2 crystal.

- space group = No. 65
- formation energy from raw total energies (eV/atom) = 0.523
- V (Å³ per cell) = 67

```
4
Lattice="4.470 0.008 0.000 -1.342 4.264 0.000 0.000 0.000 3.535" Properties=species:S:1:pos:R:3 pbc="T T T"
Ni -0.671 2.132 1.768
Sb 2.235 0.004 1.768
P 0.000 0.000 0.000
P 1.564 2.136 0.000
```